No. 1
# CaScB2O6, optimized geometry, DFT GGA-PBE
data_CaScB2O6
_cell_length_a 8.098
_cell_length_b 9.522
_cell_length_c 6.405
_cell_angle_alpha 90.00
_cell_angle_beta 107.12
_cell_angle_gamma 90.00
_symmetry_space_group_name_H-M 'C 1 2/c 1'
_symmetry_Int_Tables_number 15
loop_
_symmetry_equiv_pos_as_xyz
'x,y,z'
'-x,-y,-z'
'-x,y,-z+1/2'
'x,-y,z+1/2'
'x+1/2,y+1/2,z'
'-x+1/2,-y+1/2,-z'
'-x+1/2,y+1/2,-z+1/2'
'x+1/2,-y+1/2,z+1/2'
loop_
_atom_site_label
_atom_site_fract_x
_atom_site_fract_y
_atom_site_fract_z
Ca1 0.000 0.106 0.250
Sc1 0.000 0.427 0.750
B1 0.247 0.339 0.233
O1 0.093 0.394 0.100
O2 0.139 0.076 0.624
O3 0.217 0.303 0.759
# E_tot: -312.8 eV per cell
# Formation energy without anion corrections: -26.753 eV per formula unit
# N(E_F): 9.0 states/eV/cell

No. 2
# Ba12Tl3Pt5, optimized geometry, DFT GGA-PBE
data_Ba12Tl3Pt5
_cell_length_a 19.597
_cell_length_b 19.597
_cell_length_c 19.597
_cell_angle_alpha 90.00
_cell_angle_beta 90.00
_cell_angle_gamma 90.00
_symmetry_space_group_name_H-M 'I a -3 d'
_symmetry_Int_Tables_number 230
_symmetry_space_group_name_Hall '-I 4bd 2c 3'
loop_
_atom_site_label
_atom_site_fract_x
_atom_site_fract_y
_atom_site_fract_z
Ba1 0.027 0.059 0.650
Tl1 0.000 0.250 0.125
Pt1 0.000 0.000 0.000
Pt2 0.000 0.250 0.375
# E_tot: -550.4 eV per cell
# Formation enthalpy at 0 K: -0.42 eV per atom
# N(E_F): 113.3 states/eV/cell

No. 3
# Zn3Cu, optimized geometry, DFT GGA-PBE
data_Zn3Cu
_cell_length_a 3.236
_cell_length_b 4.126
_cell_length_c 8.397
_cell_angle_alpha 90.00
_cell_angle_beta 90.00
_cell_angle_gamma 90.00
_symmetry_space_group_name_H-M 'C m m m'
_symmetry_Int_Tables_number 65
_symmetry_space_group_name_Hall '-C 2 2'
loop_
_atom_site_label
_atom_site_fract_x
_atom_site_fract_y
_atom_site_fract_z
Zn1 0.000 0.000 0.000
Zn2 0.000 0.500 0.265
Cu1 0.000 0.000 0.500
# E_tot: -15.8 eV per cell
# Formation enthalpy at 0 K: 0.01 eV per atom
# N(E_F): 1.9 states/eV/cell

No. 4
# Pr3Si3Rh2, optimized geometry, DFT GGA-PBE
data_Pr3Si3Rh2
_cell_length_a 4.257
_cell_length_b 11.248
_cell_length_c 14.507
_cell_angle_alpha 90.00
_cell_angle_beta 90.00
_cell_angle_gamma 90.00
_symmetry_space_group_name_H-M 'C m c m'
_symmetry_Int_Tables_number 63
_symmetry_space_group_name_Hall '-C 2c 2'
loop_
_atom_site_label
_atom_site_fract_x
_atom_site_fract_y
_atom_site_fract_z
Pr1 0.000 0.073 0.109
Pr2 0.000 0.354 0.250
Si1 0.000 0.338 0.750
Si2 0.000 0.355 0.037
Rh1 0.000 0.214 0.598
# E_tot: -207.9 eV per cell
# Formation energy without anion corrections: -6.677 eV per formula unit
# N(E_F): 22.7 states/eV/cell

No. 5
# GaRe2W, optimized geometry, DFT GGA-PBE
data_GaRe2W
_cell_length_a 4.883
_cell_length_b 2.811
_cell_length_c 9.106
_cell_angle_alpha 90.00
_cell_angle_beta 100.41
_cell_angle_gamma 90.00
_symmetry_space_group_name_H-M 'C 1 m 1'
_symmetry_Int_Tables_number 8
loop_
_symmetry_equiv_pos_as_xyz
'x,y,z'
'x,-y,z'
'x+1/2,y+1/2,z'
'x+1/2,-y+1/2,z'
loop_
_atom_site_label
_atom_site_fract_x
_atom_site_fract_y
_atom_site_fract_z
Ga1 0.000 0.000 0.000
Re1 0.085 0.500 0.754
Re2 0.415 0.000 0.249
W1 0.168 0.000 0.501
# E_tot: -80.3 eV per cell
# Formation enthalpy at 0 K: 0.18 eV per atom
# N(E_F): 5.5 states/eV/cell

No. 6
# Nb6Ru2Rh, optimized geometry, DFT GGA-PBE
data_Nb6Ru2Rh
_cell_length_a 13.158
_cell_length_b 6.234
_cell_length_c 4.575
_cell_angle_alpha 90.00
_cell_angle_beta 110.20
_cell_angle_gamma 90.00
_symmetry_space_group_name_H-M 'C 1 2/m 1'
_symmetry_Int_Tables_number 12
loop_
_symmetry_equiv_pos_as_xyz
'x,y,z'
'-x,-y,-z'
'-x,y,-z'
'x,-y,z'
'x+1/2,y+1/2,z'
'-x+1/2,-y+1/2,-z'
'-x+1/2,y+1/2,-z'
'x+1/2,-y+1/2,z'
loop_
_atom_site_label
_atom_site_fract_x
_atom_site_fract_y
_atom_site_fract_z
Nb1 0.000 0.242 0.000
Nb2 0.169 0.264 0.669
Ru1 0.166 0.500 0.166
Rh1 0.000 0.000 0.500
# E_tot: -168.4 eV per cell
# Formation enthalpy at 0 K: 0.23 eV per atom
# N(E_F): 16.1 states/eV/cell

No. 7
# Dy3Y2Ho6, optimized geometry, DFT GGA-PBE
data_Dy3Y2Ho6
_cell_length_a 4.696
_cell_length_b 4.696
_cell_length_c 33.240
_cell_angle_alpha 90.00
_cell_angle_beta 90.00
_cell_angle_gamma 90.00
_symmetry_space_group_name_H-M 'I 4/m m m'
_symmetry_Int_Tables_number 139
_symmetry_space_group_name_Hall '-I 4 2'
loop_
_atom_site_label
_atom_site_fract_x
_atom_site_fract_y
_atom_site_fract_z
Dy1 0.000 0.000 0.000
Dy2 0.000 0.000 0.200
Y1 0.000 0.000 0.454
Ho1 0.000 0.000 0.303
Ho2 0.000 0.500 0.122
# E_tot: -102.0 eV per cell
# Excess energy over the best structure of this formula in the dataset: 14.1 kJ per mole of atoms
# Formation enthalpy at 0 K: 0.29 eV per atom
# N(E_F): 34.8 states/eV/cell

No. 8
# La5Sm3Tm2, optimized geometry, DFT GGA-PBE
data_La5Sm3Tm2
_cell_length_a 10.941
_cell_length_b 14.970
_cell_length_c 10.192
_cell_angle_alpha 90.00
_cell_angle_beta 122.35
_cell_angle_gamma 90.00
_symmetry_space_group_name_H-M 'C 1 2/c 1'
_symmetry_Int_Tables_number 15
loop_
_symmetry_equiv_pos_as_xyz
'x,y,z'
'-x,-y,-z'
'-x,y,-z+1/2'
'x,-y,z+1/2'
'x+1/2,y+1/2,z'
'-x+1/2,-y+1/2,-z'
'-x+1/2,y+1/2,-z+1/2'
'x+1/2,-y+1/2,z+1/2'
loop_
_atom_site_label
_atom_site_fract_x
_atom_site_fract_y
_atom_site_fract_z
La1 0.000 0.023 0.250
La2 0.000 0.231 0.250
La3 0.000 0.277 0.750
La4 0.243 0.378 0.240
Sm1 0.000 0.481 0.750
Sm2 0.152 0.125 0.059
Tm1 0.156 0.378 0.560
# E_tot: -184.9 eV per cell
# Formation enthalpy at 0 K: 0.15 eV per atom
# N(E_F): 66.0 states/eV/cell